No. 1
This record from Alexandria describes a relaxed structure of CaPrInCl6. The functional is PBE.

Cell and atoms, written as POSCAR:
```
CaPrInCl6
1.0
7.279 0.000 0.000
-3.640 6.304 0.000
0.000 0.000 13.564
Ca Pr In Cl
2 2 2 12
direct
0.333 0.667 0.250
0.667 0.333 0.750
0.333 0.667 0.750
0.667 0.333 0.250
0.000 0.000 0.000
0.000 0.000 0.500
0.002 0.370 0.137
0.002 0.632 0.363
0.368 0.370 0.363
0.368 0.998 0.137
0.370 0.002 0.637
0.370 0.368 0.863
0.630 0.632 0.137
0.630 0.998 0.363
0.632 0.002 0.863
0.632 0.630 0.637
0.998 0.368 0.637
0.998 0.630 0.863
```

D(E_F), states/eV/atom: 0.00
Energy relative to the elements, uncorrected, eV per atom: -1.998
E_tot, eV per atom: -4.2872
Space-group type: P-31c
Size of the total moment, μB per atom: 0.000

No. 2
This record from Alexandria describes a relaxed structure of CaPuInCl6. The functional is PBE.

Cell and atoms, written as POSCAR:
```
CaPuInCl6
1.0
7.237 0.000 0.000
-3.618 6.267 0.000
0.000 0.000 13.511
Ca Pu In Cl
2 2 2 12
direct
0.333 0.667 0.250
0.667 0.333 0.750
0.333 0.667 0.750
0.667 0.333 0.250
0.000 0.000 0.000
0.000 0.000 0.500
0.003 0.368 0.639
0.003 0.635 0.861
0.365 0.368 0.861
0.365 0.997 0.639
0.368 0.003 0.139
0.368 0.365 0.361
0.632 0.635 0.639
0.632 0.997 0.861
0.635 0.003 0.361
0.635 0.632 0.139
0.997 0.365 0.139
0.997 0.632 0.361
```

D(E_F), states/eV/atom: 1.20
Energy relative to the elements, uncorrected, eV per atom: -1.836
E_tot, eV per atom: -5.1860
Space-group type: P-31c
Size of the total moment, μB per atom: 0.556

No. 3
This record from Alexandria describes a relaxed structure of RbCaIn2Cl8. The functional is PBE.

Cell and atoms, written as POSCAR:
```
RbCaIn2Cl8
1.0
3.447 1.990 9.517
-3.447 1.990 9.517
0.000 -3.980 9.517
Rb Ca In Cl
1 1 2 8
direct
0.000 0.000 0.000
0.500 0.500 0.500
0.242 0.242 0.242
0.758 0.758 0.758
0.131 0.787 0.415
0.213 0.585 0.869
0.327 0.327 0.327
0.415 0.131 0.787
0.585 0.869 0.213
0.673 0.673 0.673
0.787 0.415 0.131
0.869 0.213 0.585
```

D(E_F), states/eV/atom: 0.51
Energy relative to the elements, uncorrected, eV per atom: -1.437
E_tot, eV per atom: -3.3715
Space-group type: R-3
Size of the total moment, μB per atom: 0.061

No. 4
This record from Alexandria describes a relaxed structure of RbCaInCl6. The functional is PBE.

Cell and atoms, written as POSCAR:
```
RbCaInCl6
1.0
6.990 0.000 0.000
-3.495 6.054 0.000
0.000 0.000 14.359
Rb Ca In Cl
2 2 2 12
direct
0.000 0.000 0.000
0.000 0.000 0.500
0.333 0.667 0.250
0.667 0.333 0.750
0.333 0.667 0.750
0.667 0.333 0.250
0.021 0.383 0.646
0.021 0.638 0.854
0.362 0.383 0.854
0.362 0.979 0.646
0.383 0.021 0.146
0.383 0.362 0.354
0.617 0.638 0.646
0.617 0.979 0.854
0.638 0.021 0.354
0.638 0.617 0.146
0.979 0.362 0.146
0.979 0.617 0.354
```

D(E_F), states/eV/atom: 0.00
Energy relative to the elements, uncorrected, eV per atom: -1.761
E_tot, eV per atom: -3.6260
Space-group type: P-31c
Size of the total moment, μB per atom: 0.000

No. 5
This record from Alexandria describes a relaxed structure of RbCa2InCl8. The functional is PBE.

Cell and atoms, written as POSCAR:
```
RbCa2InCl8
1.0
6.351 0.000 0.000
0.000 8.717 0.000
-0.118 0.000 6.557
Rb Ca In Cl
1 2 1 8
direct
0.000 0.000 0.000
0.500 0.252 0.500
0.500 0.748 0.500
0.000 0.500 0.000
0.233 0.297 0.162
0.233 0.703 0.162
0.258 0.500 0.678
0.277 0.000 0.617
0.723 0.000 0.383
0.742 0.500 0.322
0.767 0.297 0.838
0.767 0.703 0.838
```

D(E_F), states/eV/atom: 0.00
Energy relative to the elements, uncorrected, eV per atom: -1.843
E_tot, eV per atom: -3.7161
Space-group type: P2/m
Size of the total moment, μB per atom: 0.000

No. 6
This record from Alexandria describes a relaxed structure of RbCaInCl4. The functional is PBE.

Cell and atoms, written as POSCAR:
```
RbCaInCl4
1.0
-2.689 2.689 8.183
2.689 -2.689 8.183
2.689 2.689 -8.183
Rb Ca In Cl
1 1 1 4
direct
0.000 0.000 0.000
0.359 0.359 0.000
0.707 0.707 0.000
0.195 0.195 0.000
0.367 0.867 0.500
0.532 0.532 0.000
0.867 0.367 0.500
```

D(E_F), states/eV/atom: 0.00
Energy relative to the elements, uncorrected, eV per atom: -1.804
E_tot, eV per atom: -3.6746
Space-group type: I4mm
Size of the total moment, μB per atom: 0.000

- Which value of size of the total moment does entry 4 give?
  0.000 μB per atom

- What is the E_tot in the third record?
  -3.3715 eV per atom

- Among the records above, which one has the highest E_tot?
  RbCaIn2Cl8